[1]
DFT (PBE) results for an optimized crystal structure of TaZnFe2.

abc: 8.702 8.702 8.702
angles: 18.37 18.37 18.37
Site moments in Bohr magnetons follow the coordinates.
Atoms (fractional coordinates):
1 Fe 0.995 0.995 0.995  2.46
2 Ta 0.504 0.504 0.504  -0.21
3 Fe 0.257 0.257 0.257  2.12
4 Zn 0.743 0.743 0.743  -0.04

Calculated volume: 57.13 Å³ per cell
Formation enthalpy at 0 K: 0.19 eV/atom
Final energy: -29.3 eV per cell
Space-group type: No. 160

---

[2]
DFT (PBE) results for an optimized crystal structure of TaZnFe.

abc: 4.304 4.304 2.688
angles: 90.00 90.00 120.00
Site moments in Bohr magnetons follow the coordinates.
Atoms (fractional coordinates):
1 Zn 0.333 0.667 0.753  -0.02
2 Ta 0.667 0.333 0.291  -0.26
3 Fe 0.000 0.000 0.956  1.54

Calculated volume: 43.13 Å³ per cell
Formation enthalpy at 0 K: 0.03 eV/atom
E above lowest polymorph: 0.156 eV per atom
Final energy: -21.5 eV per cell
Space-group type: No. 156